No. 1
# GGA-PBE BaCeSn, relaxed
data_BaCeSn
_chemical_formula_sum 'Ba2 Ce2 Sn2'
_cell_length_a 5.3742
_cell_length_b 5.3742
_cell_length_c 9.9879
_cell_angle_alpha 74.39
_cell_angle_beta 74.39
_cell_angle_gamma 60.00
_symmetry_space_group_name_H-M 'P 1'
_symmetry_Int_Tables_number 1
_symmetry_space_group_name_Hall 'P 1'
loop_
_atom_site_label
_atom_site_fract_x
_atom_site_fract_y
_atom_site_fract_z
Sn1 0.4115 0.4115 0.7654
Ce1 0.2967 0.2967 0.1098
Ce2 0.7033 0.7033 0.8902
Sn2 0.5885 0.5885 0.2346
Ba1 0.1311 0.1311 0.6066
Ba2 0.8689 0.8689 0.3934
# formation energy from the elements	-0.71	eV/f.u.
# D(E_F)	18.70	states/eV per cell
# crystal system	trigonal

No. 2
# GGA-PBE BaCeSn4, relaxed
data_BaCeSn4
_chemical_formula_sum 'Ba1 Ce1 Sn4'
_cell_length_a 6.3717
_cell_length_b 6.3717
_cell_length_c 6.3717
_cell_angle_alpha 60.00
_cell_angle_beta 60.00
_cell_angle_gamma 60.00
_symmetry_space_group_name_H-M 'P 1'
_symmetry_Int_Tables_number 1
_symmetry_space_group_name_Hall 'P 1'
loop_
_atom_site_label
_atom_site_fract_x
_atom_site_fract_y
_atom_site_fract_z
Ba1 0.0000 0.0000 0.0000
Sn1 0.6239 0.6239 0.6239
Ce1 0.2500 0.2500 0.2500
Sn2 0.6239 0.6239 0.1283
Sn3 0.1283 0.6239 0.6239
Sn4 0.6239 0.1283 0.6239
# formation energy from the elements	-2.30	eV/f.u.
# D(E_F)	9.93	states/eV per cell
# crystal system	cubic

No. 3
# GGA-PBE BaCeSn6, relaxed
data_BaCeSn6
_chemical_formula_sum 'Ba1 Ce1 Sn6'
_cell_length_a 4.8531
_cell_length_b 4.8531
_cell_length_c 9.7283
_cell_angle_alpha 90.00
_cell_angle_beta 90.00
_cell_angle_gamma 90.00
_symmetry_space_group_name_H-M 'P 1'
_symmetry_Int_Tables_number 1
_symmetry_space_group_name_Hall 'P 1'
loop_
_atom_site_label
_atom_site_fract_x
_atom_site_fract_y
_atom_site_fract_z
Sn1 0.0000 0.5000 0.2621
Sn2 0.0000 0.5000 0.7379
Sn3 0.5000 0.0000 0.2621
Ce1 0.0000 0.0000 0.5000
Sn4 0.5000 0.5000 0.0000
Sn5 0.5000 0.0000 0.7379
Ba1 0.0000 0.0000 0.0000
Sn6 0.5000 0.5000 0.5000
# formation energy from the elements	-3.52	eV/f.u.
# D(E_F)	7.97	states/eV per cell
# crystal system	tetragonal

No. 4
# GGA-PBE Ba2SrCe, relaxed
data_Ba2SrCe
_chemical_formula_sum 'Ba2 Sr1 Ce1'
_cell_length_a 4.0079
_cell_length_b 4.0079
_cell_length_c 14.7619
_cell_angle_alpha 82.20
_cell_angle_beta 82.20
_cell_angle_gamma 60.00
_symmetry_space_group_name_H-M 'P 1'
_symmetry_Int_Tables_number 1
_symmetry_space_group_name_Hall 'P 1'
loop_
_atom_site_label
_atom_site_fract_x
_atom_site_fract_y
_atom_site_fract_z
Sr1 0.5000 0.5000 0.5000
Ba1 0.0832 0.0832 0.7505
Ce1 0.0000 0.0000 0.0000
Ba2 0.9168 0.9168 0.2495
# formation energy from the elements	1.55	eV/f.u.
# D(E_F)	10.86	states/eV per cell
# crystal system	trigonal

No. 5
# GGA-PBE BaSr2Ce, relaxed
data_BaSr2Ce
_chemical_formula_sum 'Ba1 Sr2 Ce1'
_cell_length_a 3.9477
_cell_length_b 3.9477
_cell_length_c 14.7146
_cell_angle_alpha 82.29
_cell_angle_beta 82.29
_cell_angle_gamma 60.00
_symmetry_space_group_name_H-M 'P 1'
_symmetry_Int_Tables_number 1
_symmetry_space_group_name_Hall 'P 1'
loop_
_atom_site_label
_atom_site_fract_x
_atom_site_fract_y
_atom_site_fract_z
Ba1 0.5000 0.5000 0.5000
Sr1 0.0833 0.0833 0.7500
Sr2 0.9167 0.9167 0.2500
Ce1 0.0000 0.0000 0.0000
# formation energy from the elements	1.52	eV/f.u.
# D(E_F)	10.34	states/eV per cell
# crystal system	trigonal

No. 6
# GGA-PBE BaSrCe, relaxed
data_BaSrCe
_chemical_formula_sum 'Ba2 Sr2 Ce2'
_cell_length_a 4.0833
_cell_length_b 4.0833
_cell_length_c 16.8913
_cell_angle_alpha 90.00
_cell_angle_beta 90.00
_cell_angle_gamma 90.00
_symmetry_space_group_name_H-M 'P 1'
_symmetry_Int_Tables_number 1
_symmetry_space_group_name_Hall 'P 1'
loop_
_atom_site_label
_atom_site_fract_x
_atom_site_fract_y
_atom_site_fract_z
Ba1 0.5000 0.0000 0.3969
Ba2 0.0000 0.5000 0.6031
Ce1 0.0000 0.5000 0.9679
Sr1 0.0000 0.5000 0.1948
Ce2 0.5000 0.0000 0.0321
Sr2 0.5000 0.0000 0.8052
# formation energy from the elements	0.52	eV/f.u.
# D(E_F)	15.82	states/eV per cell
# crystal system	tetragonal

No. 7
# GGA-PBE BaCe3Tc, relaxed
data_BaCe3Tc
_chemical_formula_sum 'Ba1 Ce3 Tc1'
_cell_length_a 5.5186
_cell_length_b 5.5186
_cell_length_c 5.5186
_cell_angle_alpha 90.00
_cell_angle_beta 90.00
_cell_angle_gamma 90.00
_symmetry_space_group_name_H-M 'P 1'
_symmetry_Int_Tables_number 1
_symmetry_space_group_name_Hall 'P 1'
loop_
_atom_site_label
_atom_site_fract_x
_atom_site_fract_y
_atom_site_fract_z
Ba1 0.5000 0.5000 0.5000
Ce1 0.0000 0.5000 0.0000
Tc1 0.0000 0.0000 0.0000
Ce2 0.0000 0.0000 0.5000
Ce3 0.5000 0.0000 0.0000
# formation energy from the elements	0.76	eV/f.u.
# D(E_F)	15.52	states/eV per cell
# crystal system	cubic

No. 8
# GGA-PBE BaCe2Tc, relaxed
data_BaCe2Tc
_chemical_formula_sum 'Ba1 Ce2 Tc1'
_cell_length_a 3.9733
_cell_length_b 3.9733
_cell_length_c 10.7027
_cell_angle_alpha 79.30
_cell_angle_beta 79.30
_cell_angle_gamma 60.00
_symmetry_space_group_name_H-M 'P 1'
_symmetry_Int_Tables_number 1
_symmetry_space_group_name_Hall 'P 1'
loop_
_atom_site_label
_atom_site_fract_x
_atom_site_fract_y
_atom_site_fract_z
Ce1 0.8815 0.8815 0.3556
Tc1 0.5000 0.5000 0.5000
Ba1 0.0000 0.0000 0.0000
Ce2 0.1185 0.1185 0.6444
# distance to the lowest polymorph of the same formula	0.0831	eV per atom
# formation energy from the elements	0.92	eV/f.u.
# D(E_F)	8.80	states/eV per cell
# crystal system	trigonal

Listing magnetic moment for the structures above in their given order: 1.7 1.8 0.7 2.1 2.0 1.3 2.8 0.5 μB/f.u..